Entry 1:
Entry from OQMD: a relaxed Lu8Co crystal (PBE-GGA).

abc: 8.8227 8.8227 3.5374
angles: 90.00 90.00 120.00
With the nearest neighbours (Å) after each atom.
Fractional positions:
Lu: 0.0000 0.2364 0.0000  2 Co 2.73
Lu: 0.0000 0.6203 0.5000  10 Lu 3.28-3.54, 1 Co 3.35
Lu: 0.2364 0.0000 0.0000  2 Co 2.73
Lu: 0.3333 0.6667 0.0000  11 Lu 3.28-3.54
Lu: 0.3797 0.3797 0.5000  10 Lu 3.28-3.54, 1 Co 3.35
Lu: 0.6203 0.0000 0.5000  10 Lu 3.28-3.54, 1 Co 3.35
Lu: 0.6667 0.3333 0.0000  11 Lu 3.28-3.54
Lu: 0.7636 0.7636 0.0000  2 Co 2.73
Co: 0.0000 0.0000 0.5000  6 Lu 2.73

Calculated values
formation enthalpy at 0 K	-0.046	eV/atom
ρ	10.16	g cm⁻³

Entry 2:
Entry from OQMD: a relaxed LuCo3 crystal (PBE-GGA).

abc: 8.4790 8.4790 8.4790
angles: 33.59 33.59 33.59
With the nearest neighbours (Å) after each atom.
Fractional positions:
Lu: 0.0000 0.0000 0.0000  18 Co 2.83-3.14
Lu: 0.1401 0.1401 0.1401  12 Co 2.82-3.01, 3 Lu 3.10
Lu: 0.8599 0.8599 0.8599  12 Co 2.82-3.01, 3 Lu 3.10
Co: 0.0785 0.5839 0.5839  7 Co 2.41-2.48
Co: 0.3346 0.3346 0.3346  6 Co 2.41-2.44
Co: 0.4161 0.4161 0.9215  7 Co 2.41-2.48
Co: 0.4161 0.9215 0.4161  7 Co 2.41-2.48
Co: 0.5000 0.5000 0.5000  6 Co 2.48
Co: 0.5839 0.0785 0.5839  7 Co 2.41-2.48
Co: 0.5839 0.5839 0.0785  7 Co 2.41-2.48
Co: 0.6654 0.6654 0.6654  6 Co 2.41-2.44
Co: 0.9215 0.4161 0.4161  7 Co 2.41-2.48

Calculated values
formation enthalpy at 0 K	-0.235	eV/atom
ρ	10.54	g cm⁻³

Copy entry 1 word for word.
Entry from OQMD: a relaxed Lu8Co crystal (PBE-GGA).

abc: 8.8227 8.8227 3.5374
angles: 90.00 90.00 120.00
With the nearest neighbours (Å) after each atom.
Fractional positions:
Lu: 0.0000 0.2364 0.0000  2 Co 2.73
Lu: 0.0000 0.6203 0.5000  10 Lu 3.28-3.54, 1 Co 3.35
Lu: 0.2364 0.0000 0.0000  2 Co 2.73
Lu: 0.3333 0.6667 0.0000  11 Lu 3.28-3.54
Lu: 0.3797 0.3797 0.5000  10 Lu 3.28-3.54, 1 Co 3.35
Lu: 0.6203 0.0000 0.5000  10 Lu 3.28-3.54, 1 Co 3.35
Lu: 0.6667 0.3333 0.0000  11 Lu 3.28-3.54
Lu: 0.7636 0.7636 0.0000  2 Co 2.73
Co: 0.0000 0.0000 0.5000  6 Lu 2.73

Calculated values
formation enthalpy at 0 K	-0.046	eV/atom
ρ	10.16	g cm⁻³

Question: Which value of ρ does entry 2 give?
Answer: 10.54 g cm⁻³

Question: The highest formation enthalpy at 0 K belongs to which entry?
Answer: Lu8Co